Record 1
{"formula": "K7NbS6O24", "functional": "PBE-GGA", "state": "relaxed", "cell": [[-1.7939, -4.1810, -8.2962], [9.2607, 1.8199, 0.6738], [-2.6029, -5.7463, 7.0520]], "species": ["S", "S", "S", "S", "S", "S", "O", "O", "O", "O", "O", "O", "O", "O", "O", "O", "O", "O", "O", "O", "O", "O", "O", "O", "O", "O", "O", "O", "O", "O", "Nb", "K", "K", "K", "K", "K", "K", "K"], "fractional_positions": [[0.0318, 0.2552, 0.3824], [0.2552, 0.3824, 0.0318], [0.9682, 0.7448, 0.6176], [0.3824, 0.0318, 0.2552], [0.6176, 0.9682, 0.7448], [0.7448, 0.6176, 0.9682], [0.6858, 0.0151, 0.6390], [0.0151, 0.6390, 0.6858], [0.4753, 0.7873, 0.6474], [0.4278, 0.9097, 0.1664], [0.7669, 0.9778, 0.8924], [0.3610, 0.3142, 0.9849], [0.9097, 0.1664, 0.4278], [0.6474, 0.4753, 0.7873], [0.9849, 0.3610, 0.3142], [0.6390, 0.6858, 0.0151], [0.8336, 0.5722, 0.0903], [0.8924, 0.7669, 0.9778], [0.3142, 0.9849, 0.3610], [0.2127, 0.3526, 0.5247], [0.3526, 0.5247, 0.2127], [0.5722, 0.0903, 0.8336], [0.0903, 0.8336, 0.5722], [0.1664, 0.4278, 0.9097], [0.5247, 0.2127, 0.3526], [0.7873, 0.6474, 0.4753], [0.1076, 0.2331, 0.0222], [0.9778, 0.8924, 0.7669], [0.0222, 0.1076, 0.2331], [0.2331, 0.0222, 0.1076], [0.0000, 0.0000, 0.0000], [0.5000, 0.5000, 0.5000], [0.8375, 0.3351, 0.6777], [0.6649, 0.3223, 0.1625], [0.6777, 0.8375, 0.3351], [0.3223, 0.1625, 0.6649], [0.3351, 0.6777, 0.8375], [0.1625, 0.6649, 0.3223]], "total_magnetization_mub_per_atom": 0.0093, "formation_energy_uncorrected_ev_per_fu": -69.20}

---

Record 2
{"formula": "KNbS2O8", "functional": "PBE-GGA", "state": "relaxed", "cell": [[-0.8491, -3.4433, -3.5036], [3.7393, -0.6101, 3.2400], [-5.2147, -4.0599, 5.2538]], "species": ["S", "S", "Nb", "O", "O", "O", "O", "O", "O", "O", "O", "K"], "fractional_positions": [[0.6667, 0.3333, 0.2794], [0.3333, 0.6667, 0.7206], [0.0000, 0.0000, 0.5000], [0.7028, 0.0699, 0.3408], [0.3671, 0.2972, 0.3408], [0.3333, 0.6667, 0.8934], [0.2972, 0.9301, 0.6592], [0.6329, 0.7028, 0.6592], [0.9301, 0.6329, 0.3408], [0.6667, 0.3333, 0.1066], [0.0699, 0.3671, 0.6592], [0.0000, 0.0000, 0.0000]], "total_magnetization_mub_per_atom": 0.1667, "formation_energy_uncorrected_ev_per_fu": -19.54}

---

Record 3
{"formula": "K4ScNb3O12", "functional": "PBE-GGA", "state": "relaxed", "cell": [[7.1023, 0.0000, 0.0000], [-2.3674, 6.6961, 0.0000], [-2.3674, -3.3481, 5.7990]], "species": ["O", "O", "O", "O", "O", "O", "O", "O", "O", "O", "O", "O", "K", "K", "K", "K", "Nb", "Nb", "Nb", "Sc"], "fractional_positions": [[0.7407, 0.0000, 0.7407], [0.0000, 0.7407, 0.7407], [0.7407, 0.7407, 0.0000], [0.2593, 0.0000, 0.2593], [0.7500, 0.5000, 0.2500], [0.7500, 0.2500, 0.5000], [0.2500, 0.5000, 0.7500], [0.2500, 0.7500, 0.5000], [0.0000, 0.2593, 0.2593], [0.5000, 0.7500, 0.2500], [0.2593, 0.2593, 0.0000], [0.5000, 0.2500, 0.7500], [0.5000, 0.0000, 0.0000], [0.0000, 0.0000, 0.5000], [0.0000, 0.5000, 0.0000], [0.5000, 0.5000, 0.5000], [0.0000, 0.5000, 0.5000], [0.5000, 0.0000, 0.5000], [0.5000, 0.5000, 0.0000], [0.0000, 0.0000, 0.0000]], "total_magnetization_mub_per_atom": 0.0741, "formation_energy_uncorrected_ev_per_fu": -46.55}

---

Record 4
{"formula": "K3ScNb2O9", "functional": "PBE-GGA", "state": "relaxed", "cell": [[-4.4741, -2.3425, -2.9012], [5.3828, -0.3133, -2.2020], [1.0335, -6.1947, 3.4078]], "species": ["K", "K", "K", "O", "O", "O", "O", "O", "O", "O", "O", "O", "Sc", "Nb", "Nb"], "fractional_positions": [[0.6667, 0.3333, 0.3309], [0.0000, 0.0000, 0.0000], [0.3333, 0.6667, 0.6691], [0.1707, 0.3415, 0.3259], [0.8293, 0.1707, 0.6741], [0.0000, 0.5000, 0.0000], [0.6585, 0.8293, 0.3259], [0.1707, 0.8293, 0.3259], [0.5000, 0.5000, 0.0000], [0.3415, 0.1707, 0.6741], [0.8293, 0.6585, 0.6741], [0.5000, 0.0000, 0.0000], [0.0000, 0.0000, 0.5000], [0.6667, 0.3333, 0.8206], [0.3333, 0.6667, 0.1794]], "total_magnetization_mub_per_atom": 0.1307, "formation_energy_uncorrected_ev_per_fu": -34.53}